{
  "formula": "Dy3Ni4Pt4",
  "functional": "GGA-PBE",
  "state": "relaxed",
  "ef_kj_per_mol_fu": -616,
  "mass_density_g_cm3": 12.30,
  "total_energy_ha_per_atom": -0.2254,
  "lattice": [[-3.170, 3.459, -4.370], [-4.184, -2.658, 4.067], [4.009, 3.810, 3.244]],
  "species": ["Dy", "Ni", "Pt", "Pt", "Dy", "Dy", "Ni", "Ni", "Pt", "Ni", "Pt"],
  "fractional_positions": [[0.000, 0.500, 0.500], [0.000, 0.000, 0.230], [0.404, 0.404, 0.404], [0.000, 0.000, 0.596], [0.500, 0.500, 0.000], [0.500, 0.000, 0.500], [0.000, 0.230, 0.000], [0.770, 0.770, 0.770], [0.000, 0.596, 0.000], [0.230, 0.000, 0.000], [0.596, 0.000, 0.000]]
}

***

{
  "formula": "Dy8NiPt2",
  "functional": "GGA-PBE",
  "state": "relaxed",
  "ef_kj_per_mol_fu": -476,
  "mass_density_g_cm3": 9.70,
  "total_energy_ha_per_atom": -0.1992,
  "lattice": [[5.971, 0.044, -1.014], [-1.961, 6.711, -2.767], [-0.165, -0.073, 7.517]],
  "species": ["Dy", "Pt", "Dy", "Dy", "Dy", "Pt", "Dy", "Ni", "Dy", "Dy", "Dy"],
  "fractional_positions": [[0.170, 0.356, 0.356], [0.483, 0.321, 0.690], [0.803, 0.647, 0.647], [0.365, 0.664, 0.925], [0.988, 0.206, 0.791], [0.483, 0.690, 0.321], [0.365, 0.925, 0.664], [0.182, 0.006, 0.006], [0.587, 0.083, 0.343], [0.988, 0.791, 0.206], [0.587, 0.343, 0.083]]
}

***

{
  "formula": "Dy4NiPt",
  "functional": "GGA-PBE",
  "state": "relaxed",
  "ef_kj_per_mol_fu": -306,
  "mass_density_g_cm3": 9.46,
  "total_energy_ha_per_atom": -0.2046,
  "lattice": [[6.866, 0.081, 0.000], [-0.923, 6.707, 0.000], [-2.972, -3.394, 6.880]],
  "species": ["Dy", "Ni", "Dy", "Pt", "Dy", "Dy", "Ni", "Pt", "Dy", "Dy", "Dy", "Dy"],
  "fractional_positions": [[0.596, 0.771, 0.044], [0.100, 0.850, 0.701], [0.948, 0.273, 0.044], [0.628, 0.378, 0.756], [0.052, 0.727, 0.956], [0.404, 0.229, 0.956], [0.900, 0.150, 0.299], [0.372, 0.622, 0.244], [0.773, 0.029, 0.542], [0.731, 0.487, 0.458], [0.227, 0.971, 0.458], [0.269, 0.513, 0.542]]
}

***

{
  "formula": "DyNiPt6",
  "functional": "GGA-PBE",
  "state": "relaxed",
  "ef_kj_per_mol_fu": -227,
  "mass_density_g_cm3": 16.00,
  "total_energy_ha_per_atom": -0.2250,
  "lattice": [[-3.525, 0.164, 1.537], [-1.545, -0.366, -3.506], [-0.008, -9.697, 1.016]],
  "species": ["Dy", "Pt", "Pt", "Pt", "Pt", "Ni", "Pt", "Pt"],
  "fractional_positions": [[0.000, 0.000, 0.000], [0.000, 0.500, 0.330], [0.500, 0.000, 0.670], [0.000, 0.500, 0.670], [0.500, 0.500, 0.870], [0.000, 0.000, 0.500], [0.500, 0.000, 0.330], [0.500, 0.500, 0.130]]
}

***

{
  "formula": "Dy12Ni6Pt",
  "functional": "GGA-PBE",
  "state": "relaxed",
  "e_above_lowest_polymorph_ev_per_atom": 0.000,
  "ef_kj_per_mol_fu": -729,
  "mass_density_g_cm3": 9.49,
  "total_energy_ha_per_atom": -0.2002,
  "lattice": [[7.806, 0.000, -2.760], [-3.903, 6.760, -2.760], [0.000, 0.000, 8.279]],
  "species": ["Ni", "Dy", "Ni", "Dy", "Dy", "Dy", "Ni", "Dy", "Dy", "Dy", "Ni", "Dy", "Ni", "Dy", "Dy", "Dy", "Dy", "Pt", "Ni"],
  "fractional_positions": [[0.626, 0.500, 0.126], [0.184, 0.702, 0.886], [0.374, 0.500, 0.874], [0.702, 0.518, 0.816], [0.298, 0.482, 0.184], [0.482, 0.184, 0.298], [0.874, 0.374, 0.500], [0.298, 0.114, 0.816], [0.184, 0.298, 0.482], [0.702, 0.886, 0.184], [0.500, 0.874, 0.374], [0.816, 0.702, 0.518], [0.126, 0.626, 0.500], [0.518, 0.816, 0.702], [0.886, 0.184, 0.702], [0.816, 0.298, 0.114], [0.114, 0.816, 0.298], [0.000, 0.000, 0.000], [0.500, 0.126, 0.626]]
}

***

{
  "formula": "Dy7Ni2Pt2",
  "functional": "GGA-PBE",
  "state": "relaxed",
  "ef_kj_per_mol_fu": -477,
  "mass_density_g_cm3": 9.94,
  "total_energy_ha_per_atom": -0.2031,
  "lattice": [[6.475, -0.003, -0.868], [0.003, 6.804, 0.003], [-1.270, -0.002, 6.409]],
  "species": ["Pt", "Dy", "Ni", "Ni", "Dy", "Dy", "Pt", "Dy", "Dy", "Dy", "Dy"],
  "fractional_positions": [[0.810, 0.500, 0.810], [0.500, 0.255, 0.500], [0.289, 0.000, 0.711], [0.711, 0.000, 0.289], [0.000, 0.740, 0.500], [0.500, 0.740, 0.000], [0.190, 0.500, 0.190], [0.000, 0.260, 0.500], [0.500, 0.745, 0.500], [0.500, 0.260, 0.000], [0.000, 0.000, 0.000]]
}

***

{
  "formula": "Dy12NiPt6",
  "functional": "GGA-PBE",
  "state": "relaxed",
  "ef_kj_per_mol_fu": -1524,
  "mass_density_g_cm3": 10.09,
  "total_energy_ha_per_atom": -0.2186,
  "lattice": [[-4.804, -1.945, -6.339], [7.261, -2.198, -3.081], [-1.437, -6.461, 4.819]],
  "species": ["Pt", "Dy", "Dy", "Dy", "Ni", "Dy", "Pt", "Dy", "Dy", "Pt", "Dy", "Dy", "Pt", "Pt", "Pt", "Dy", "Dy", "Dy", "Dy"],
  "fractional_positions": [[0.382, 0.695, 0.866], [0.823, 0.577, 0.418], [0.177, 0.423, 0.582], [0.682, 0.930, 0.047], [0.000, 0.000, 0.000], [0.930, 0.047, 0.682], [0.618, 0.305, 0.134], [0.953, 0.318, 0.070], [0.582, 0.177, 0.423], [0.695, 0.866, 0.382], [0.418, 0.823, 0.577], [0.047, 0.682, 0.930], [0.134, 0.618, 0.305], [0.305, 0.134, 0.618], [0.866, 0.382, 0.695], [0.423, 0.582, 0.177], [0.577, 0.418, 0.823], [0.070, 0.953, 0.318], [0.318, 0.070, 0.953]]
}

***

{
  "formula": "Dy2Ni2Pt",
  "functional": "GGA-PBE",
  "state": "relaxed",
  "e_above_lowest_polymorph_ev_per_atom": 0.009,
  "ef_kj_per_mol_fu": -342,
  "mass_density_g_cm3": 11.52,
  "total_energy_ha_per_atom": -0.2231,
  "lattice": [[3.992, 0.000, 1.707], [1.413, 4.566, 2.216], [0.116, 0.444, 5.248]],
  "species": ["Ni", "Dy", "Ni", "Pt", "Dy"],
  "fractional_positions": [[0.500, 0.275, 0.725], [0.205, 0.295, 0.295], [0.500, 0.725, 0.275], [0.000, 0.000, 0.000], [0.795, 0.705, 0.705]]
}

***

{
  "formula": "Dy8Ni2Pt",
  "functional": "GGA-PBE",
  "state": "relaxed",
  "e_above_lowest_polymorph_ev_per_atom": 0.000,
  "ef_kj_per_mol_fu": -408,
  "mass_density_g_cm3": 9.70,
  "total_energy_ha_per_atom": -0.1959,
  "lattice": [[-3.748, 1.340, -3.042], [-4.318, -0.953, 4.900], [4.243, 7.603, 2.245]],
  "species": ["Pt", "Dy", "Dy", "Ni", "Dy", "Dy", "Dy", "Dy", "Dy", "Ni", "Dy"],
  "fractional_positions": [[0.500, 0.000, 0.000], [0.962, 0.212, 0.924], [0.797, 0.663, 0.594], [0.187, 0.732, 0.374], [0.038, 0.788, 0.076], [0.590, 0.451, 0.181], [0.203, 0.337, 0.406], [0.410, 0.549, 0.819], [0.328, 0.016, 0.656], [0.813, 0.268, 0.626], [0.672, 0.984, 0.344]]
}

***

{
  "formula": "Dy3Ni2Pt",
  "functional": "GGA-PBE",
  "state": "relaxed",
  "ef_kj_per_mol_fu": -363,
  "mass_density_g_cm3": 10.22,
  "total_energy_ha_per_atom": -0.2154,
  "lattice": [[3.998, 0.000, 0.000], [0.000, 11.334, 0.000], [0.000, 0.000, 11.474]],
  "species": ["Pt", "Ni", "Pt", "Ni", "Dy", "Dy", "Dy", "Dy", "Ni", "Dy", "Ni", "Ni", "Pt", "Dy", "Dy", "Ni", "Dy", "Ni", "Dy", "Pt", "Dy", "Ni", "Dy", "Dy"],
  "fractional_positions": [[0.750, 0.875, 0.876], [0.250, 0.003, 0.319], [0.250, 0.125, 0.124], [0.750, 0.997, 0.681], [0.250, 0.816, 0.705], [0.750, 0.622, 0.945], [0.750, 0.316, 0.795], [0.250, 0.378, 0.055], [0.250, 0.802, 0.994], [0.250, 0.684, 0.205], [0.250, 0.497, 0.819], [0.250, 0.698, 0.494], [0.250, 0.375, 0.624], [0.750, 0.937, 0.122], [0.250, 0.437, 0.378], [0.750, 0.302, 0.506], [0.750, 0.184, 0.295], [0.750, 0.198, 0.006], [0.250, 0.063, 0.878], [0.750, 0.625, 0.376], [0.750, 0.563, 0.622], [0.750, 0.503, 0.181], [0.250, 0.122, 0.555], [0.750, 0.878, 0.445]]
}

***

{
  "formula": "DyNi2Pt4",
  "functional": "GGA-PBE",
  "state": "relaxed",
  "ef_kj_per_mol_fu": -325,
  "mass_density_g_cm3": 15.54,
  "total_energy_ha_per_atom": -0.2294,
  "lattice": [[4.518, 0.002, 2.418], [2.093, 4.690, 1.519], [0.048, -0.325, 5.345]],
  "species": ["Dy", "Pt", "Pt", "Pt", "Pt", "Ni", "Ni"],
  "fractional_positions": [[0.000, 0.000, 0.000], [0.701, 0.001, 0.596], [0.299, 0.404, 0.999], [0.299, 0.999, 0.404], [0.701, 0.596, 0.001], [0.751, 0.500, 0.500], [0.249, 0.500, 0.500]]
}

***

{
  "formula": "Dy5Ni2Pt",
  "functional": "GGA-PBE",
  "state": "relaxed",
  "ef_kj_per_mol_fu": -432,
  "mass_density_g_cm3": 10.22,
  "total_energy_ha_per_atom": -0.2072,
  "lattice": [[2.479, 4.515, -5.349], [4.535, -5.358, -2.422], [-8.268, -1.773, -0.174]],
  "species": ["Ni", "Dy", "Dy", "Pt", "Dy", "Dy", "Dy", "Dy", "Ni", "Pt", "Dy", "Ni", "Dy", "Dy", "Ni", "Dy"],
  "fractional_positions": [[0.876, 0.624, 0.000], [0.473, 0.308, 0.281], [0.808, 0.973, 0.281], [0.250, 0.250, 0.500], [0.192, 0.027, 0.719], [0.500, 0.500, 0.000], [0.308, 0.808, 0.281], [0.027, 0.527, 0.719], [0.624, 0.124, 0.000], [0.750, 0.750, 0.500], [0.527, 0.692, 0.719], [0.124, 0.376, 0.000], [0.000, 0.000, 0.000], [0.973, 0.473, 0.281], [0.376, 0.876, 0.000], [0.692, 0.192, 0.719]]
}

***

{
  "formula": "Dy2Ni9Pt",
  "functional": "GGA-PBE",
  "state": "relaxed",
  "ef_kj_per_mol_fu": -239,
  "mass_density_g_cm3": 10.53,
  "total_energy_ha_per_atom": -0.2136,
  "lattice": [[-0.195, 4.586, 1.715], [-4.335, 2.082, 0.938], [-1.232, -0.552, 8.334]],
  "species": ["Pt", "Ni", "Ni", "Dy", "Ni", "Ni", "Ni", "Ni", "Dy", "Ni", "Ni", "Ni"],
  "fractional_positions": [[0.000, 0.000, 0.000], [0.667, 0.667, 0.999], [0.333, 0.333, 0.001], [0.868, 0.868, 0.397], [0.418, 0.418, 0.244], [0.920, 0.418, 0.244], [0.500, 0.500, 0.500], [0.582, 0.080, 0.756], [0.132, 0.132, 0.603], [0.080, 0.582, 0.756], [0.418, 0.920, 0.244], [0.582, 0.582, 0.756]]
}

***

{
  "formula": "Dy3Ni8Pt",
  "functional": "GGA-PBE",
  "state": "relaxed",
  "ef_kj_per_mol_fu": -529,
  "mass_density_g_cm3": 10.90,
  "total_energy_ha_per_atom": -0.2192,
  "lattice": [[-0.867, -1.536, 4.659], [3.627, 0.211, 3.408], [-1.442, 7.099, 4.736]],
  "species": ["Ni", "Ni", "Ni", "Ni", "Pt", "Dy", "Dy", "Ni", "Ni", "Dy", "Ni", "Ni"],
  "fractional_positions": [[0.188, 0.188, 0.437], [0.441, 0.938, 0.684], [0.688, 0.688, 0.936], [0.938, 0.441, 0.684], [0.870, 0.870, 0.390], [0.989, 0.989, 0.033], [0.508, 0.508, 0.476], [0.436, 0.436, 0.186], [0.938, 0.938, 0.684], [0.377, 0.377, 0.869], [0.941, 0.436, 0.186], [0.436, 0.941, 0.186]]
}

***

{
  "formula": "DyPuNiPt",
  "functional": "GGA-PBE",
  "state": "relaxed",
  "ef_kj_per_mol_fu": -214,
  "mass_density_g_cm3": 13.33,
  "total_energy_ha_per_atom": -0.3030,
  "lattice": [[-4.828, 0.263, -0.674], [-3.033, -1.959, 3.285], [-2.709, 2.892, 2.851]],
  "species": ["Pu", "Ni", "Pt", "Dy"],
  "fractional_positions": [[0.500, 0.500, 0.500], [0.750, 0.750, 0.750], [0.250, 0.250, 0.250], [0.000, 0.000, 0.000]]
}

***

{
  "formula": "DySi2Ni2Pt",
  "functional": "GGA-PBE",
  "state": "relaxed",
  "mass_density_g_cm3": 7.94,
  "total_energy_ha_per_atom": -0.2061,
  "lattice": [[4.545, 0.000, 0.000], [0.000, 4.545, 0.000], [0.000, 0.000, 5.381]],
  "species": ["Ni", "Si", "Dy", "Pt", "Ni", "Si"],
  "fractional_positions": [[0.500, 0.500, 0.761], [0.500, 0.000, 0.000], [0.000, 0.000, 0.500], [0.000, 0.000, 0.000], [0.500, 0.500, 0.239], [0.000, 0.500, 0.000]]
}

***

{
  "formula": "DySi2NiPt4",
  "functional": "GGA-PBE",
  "state": "relaxed",
  "mass_density_g_cm3": 12.16,
  "total_energy_ha_per_atom": -0.2293,
  "lattice": [[-3.681, 1.414, -0.439], [-1.476, -3.596, 0.797], [-0.263, 2.087, 8.933]],
  "species": ["Pt", "Pt", "Si", "Pt", "Si", "Dy", "Pt", "Ni"],
  "fractional_positions": [[0.000, 0.500, 0.240], [0.500, 0.000, 0.760], [0.500, 0.500, 0.377], [0.500, 0.000, 0.240], [0.500, 0.500, 0.623], [0.000, 0.000, 0.000], [0.000, 0.500, 0.760], [0.000, 0.000, 0.500]]
}

***

{
  "formula": "Dy2SiNiPt6",
  "functional": "GGA-PBE",
  "state": "relaxed",
  "mass_density_g_cm3": 14.42,
  "total_energy_ha_per_atom": -0.2376,
  "lattice": [[-5.285, -0.086, 1.100], [2.356, -0.911, 8.012], [-1.535, 3.523, 4.864]],
  "species": ["Dy", "Pt", "Pt", "Pt", "Ni", "Pt", "Si", "Dy", "Pt", "Pt"],
  "fractional_positions": [[0.280, 0.775, 0.467], [0.259, 0.757, 0.965], [0.817, 0.811, 0.860], [0.277, 0.406, 0.497], [0.000, 0.000, 0.000], [0.183, 0.189, 0.140], [0.500, 0.500, 0.000], [0.720, 0.225, 0.533], [0.741, 0.243, 0.035], [0.723, 0.594, 0.503]]
}

***

{
  "formula": "DyNiSnPt",
  "functional": "GGA-PBE",
  "state": "relaxed",
  "ef_kj_per_mol_fu": -266,
  "mass_density_g_cm3": 11.93,
  "total_energy_ha_per_atom": -0.2130,
  "lattice": [[4.723, 0.000, 0.000], [2.361, 4.090, 0.000], [2.361, 1.363, 3.856]],
  "species": ["Sn", "Ni", "Pt", "Dy"],
  "fractional_positions": [[0.750, 0.750, 0.750], [0.500, 0.500, 0.500], [0.000, 0.000, 0.000], [0.250, 0.250, 0.250]]
}

***

{
  "formula": "TbDyNiPt",
  "functional": "GGA-PBE",
  "state": "relaxed",
  "e_above_lowest_polymorph_ev_per_atom": 0.070,
  "ef_kj_per_mol_fu": -308,
  "mass_density_g_cm3": 11.58,
  "total_energy_ha_per_atom": -0.2227,
  "lattice": [[-0.096, 0.320, -4.874], [-4.138, -0.925, -2.427], [-2.431, 3.645, -2.161]],
  "species": ["Ni", "Tb", "Dy", "Pt"],
  "fractional_positions": [[0.750, 0.750, 0.750], [0.000, 0.000, 0.000], [0.500, 0.500, 0.500], [0.250, 0.250, 0.250]]
}

***

{
  "formula": "TbDyNiPt",
  "functional": "GGA-PBE",
  "state": "relaxed",
  "e_above_lowest_polymorph_ev_per_atom": 0.000,
  "ef_kj_per_mol_fu": -335,
  "mass_density_g_cm3": 11.15,
  "total_energy_ha_per_atom": -0.2253,
  "lattice": [[3.829, 0.000, 0.000], [0.000, 4.324, 0.000], [-1.915, 0.000, 5.176]],
  "species": ["Ni", "Dy", "Pt", "Tb"],
  "fractional_positions": [[0.420, 0.000, 0.840], [0.861, 0.500, 0.722], [0.578, 0.500, 0.155], [0.141, 0.000, 0.282]]
}

***

{
  "formula": "DyThNiPt",
  "functional": "GGA-PBE",
  "state": "relaxed",
  "e_above_lowest_polymorph_ev_per_atom": 0.149,
  "ef_kj_per_mol_fu": -277,
  "mass_density_g_cm3": 12.32,
  "total_energy_ha_per_atom": -0.2454,
  "lattice": [[-1.682, -1.289, 4.508], [-3.849, -3.134, 0.420], [0.728, -4.625, 1.701]],
  "species": ["Pt", "Th", "Dy", "Ni"],
  "fractional_positions": [[0.750, 0.750, 0.750], [0.500, 0.500, 0.500], [0.000, 0.000, 0.000], [0.250, 0.250, 0.250]]
}